A plane-wave DFT calculation with GGA-PBE was carried out for crystalline CdTe2Br2 at its relaxed geometry.

The structure belongs to space group P4/mbm (No. 127); the cell edges are 7.701, 7.701 and 5.234 Å and the angles 90.00°, 90.00° and 90.00°. The inequivalent atoms are Cd at (0.000, 0.000, 0.000), Te at (0.127, 0.373, 0.000) and Br at (0.214, 0.714, 0.500).

The value obtained for the formation energy without anion corrections is -0.016 eV per atom. The value obtained for the density is 5.644 Mg/m³. Its volume is 155.2 Å³/f.u.


A plane-wave DFT calculation with GGA-PBE was carried out for crystalline CdTeBr2 at its relaxed geometry.

The structure belongs to space group R-3m (No. 166, hexagonal axes); the cell edges are 3.7425, 3.7425 and 37.1082 Å and the angles 90.00°, 90.00° and 120.00°. The inequivalent atoms are Cd at (0.0000, 0.0000, 0.0000), Te at (0.0000, 0.0000, 0.5000) and Br at (0.0000, 0.0000, 0.3800).

The value obtained for the formation energy without anion corrections is -0.308 eV per atom. For the polymorph energy (0 for the lowest one), the calculation gives 81 meV/atom. The value obtained for the density is 4.425 Mg/m³. Its volume is 150.0 Å³/f.u.


A plane-wave DFT calculation with GGA-PBE was carried out for crystalline CdTe2Br at its relaxed geometry.

The structure belongs to space group R-3m (No. 166, hexagonal axes); the cell edges are 4.4766, 4.4766 and 25.6994 Å and the angles 90.00°, 90.00° and 120.00°. The inequivalent atoms are Cd at (0.0000, 0.0000, 0.0000), Te at (0.0000, 0.0000, 0.3918) and Br at (0.0000, 0.0000, 0.5000).

The value obtained for the formation energy without anion corrections is -0.078 eV per atom. For the polymorph energy (0 for the lowest one), the calculation gives 192 meV/atom. The value obtained for the density is 4.998 Mg/m³. Its volume is 148.7 Å³/f.u.


A plane-wave DFT calculation with GGA-PBE was carried out for crystalline Cd2TeBr at its relaxed geometry.

The structure belongs to space group P4/mmm (No. 123); the cell edges are 3.776, 3.776 and 7.597 Å and the angles 90.00°, 90.00° and 90.00°. The inequivalent atoms are Cd at (0.000, 0.000, 0.229), Te at (0.500, 0.500, 0.000) and Br at (0.500, 0.500, 0.500).

The value obtained for the formation energy without anion corrections is -0.122 eV per atom. For the polymorph energy (0 for the lowest one), the calculation gives 268 meV/atom. The value obtained for the density is 6.626 Mg/m³. Its volume is 108.3 Å³/f.u.


Look up the formation energy without anion corrections of the second one. -0.308 eV per atom